# 1
# CdHRhPb2 | Alexandria | PBE | relaxed
# - total magnetization (μB/atom) = 0.000
# - volume (Å³ per cell) = 105
# - crystal system = tetragonal
# - total DFT energy (no corrections) (eV/f.u.) = -18.5
data_CdHRhPb2
_chemical_formula_sum 'Cd1 H1 Rh1 Pb2'
_cell_length_a 5.517
_cell_length_b 5.517
_cell_length_c 3.452
_cell_angle_alpha 90.00
_cell_angle_beta 90.00
_cell_angle_gamma 90.00
_symmetry_space_group_name_H-M 'P 4/m m m'
_symmetry_Int_Tables_number 123
_symmetry_space_group_name_Hall '-P 4 2'
loop_
_atom_site_label
_atom_site_type_symbol
_atom_site_fract_x
_atom_site_fract_y
_atom_site_fract_z
Cd1 Cd 0.000 0.000 0.000
H1 H 0.500 0.500 0.000
Rh1 Rh 0.500 0.500 0.500
Pb1 Pb 0.000 0.500 0.500

# 2
# CdHPbSe2 | Alexandria | PBE | relaxed
# - total magnetization (μB/atom) = 0.000
# - volume (Å³ per cell) = 112
# - crystal system = tetragonal
# - total DFT energy (no corrections) (eV/f.u.) = -15.2
data_CdHPbSe2
_chemical_formula_sum 'Cd1 H1 Pb1 Se2'
_cell_length_a 5.488
_cell_length_b 5.488
_cell_length_c 3.704
_cell_angle_alpha 90.00
_cell_angle_beta 90.00
_cell_angle_gamma 90.00
_symmetry_space_group_name_H-M 'P 4/m m m'
_symmetry_Int_Tables_number 123
_symmetry_space_group_name_Hall '-P 4 2'
loop_
_atom_site_label
_atom_site_type_symbol
_atom_site_fract_x
_atom_site_fract_y
_atom_site_fract_z
Cd1 Cd 0.000 0.000 0.000
H1 H 0.000 0.000 0.500
Pb1 Pb 0.500 0.500 0.500
Se1 Se 0.000 0.500 0.000

# 3
# CdH2PbSe | Alexandria | PBE | relaxed
# - total magnetization (μB/atom) = 0.000
# - volume (Å³ per cell) = 103
# - crystal system = tetragonal
# - total DFT energy (no corrections) (eV/f.u.) = -12.9
data_CdH2PbSe
_chemical_formula_sum 'Cd1 H2 Pb1 Se1'
_cell_length_a 4.077
_cell_length_b 4.077
_cell_length_c 6.215
_cell_angle_alpha 90.00
_cell_angle_beta 90.00
_cell_angle_gamma 90.00
_symmetry_space_group_name_H-M 'P 4/m m m'
_symmetry_Int_Tables_number 123
_symmetry_space_group_name_Hall '-P 4 2'
loop_
_atom_site_label
_atom_site_type_symbol
_atom_site_fract_x
_atom_site_fract_y
_atom_site_fract_z
Cd1 Cd 0.000 0.000 0.000
H1 H 0.000 0.500 0.500
Pb1 Pb 0.500 0.500 0.000
Se1 Se 0.500 0.500 0.500